CsBi2Te2 | Alexandria via LeMat-Bulk | PBE | optimized geometry; density of states at the Fermi level = 0.74 states/eV/atom; formation energy from raw total energies = -0.27 eV/atom; energy relative to the lowest polymorph listed for this composition = 0.00 eV per formula unit; symmetry = C2/c (15); E = -0.1193 hartree per atom
1.0
5.478 -7.109 0.000
5.478 7.109 0.000
-5.468 0.000 5.956
Cs Bi Te
2 4 4
Direct
0.125 0.875 0.750
0.875 0.125 0.250
0.247 0.497 0.995
0.497 0.247 0.495
0.503 0.753 0.505
0.753 0.503 0.005
0.162 0.838 0.250
0.411 0.589 0.750
0.589 0.411 0.250
0.838 0.162 0.750

CsBi3Te | Alexandria via LeMat-Bulk | PBE | optimized geometry; density of states at the Fermi level = 1.63 states/eV/atom; formation energy from raw total energies = 0.26 eV/atom; energy relative to the lowest polymorph listed for this composition = 0.00 eV per formula unit; symmetry = Pm-3m (221); E = -0.1055 hartree per atom
1.0
6.071 0.000 0.000
0.000 6.071 0.000
0.000 0.000 6.071
Cs Bi Te
1 3 1
Direct
0.000 0.000 0.000
0.000 0.500 0.500
0.500 0.000 0.500
0.500 0.500 0.000
0.500 0.500 0.500